[1]
Compound: TmGaCu
Source: the Alexandria database
Functional: GGA-PBE
Structure: optimized geometry

Cell: 4.202 4.550 6.133 Å, 90.00 110.08 90.00°
Element x y z (fractional)
Tm (0.099, 0.250, 0.201)
Tm (0.901, 0.750, 0.799)
Ga (0.387, 0.250, 0.775)
Ga (0.613, 0.750, 0.225)
Cu (0.238, 0.750, 0.475)
Cu (0.762, 0.250, 0.525)

Calculated values
The total energy comes out at -25.583 eV per cell. The density of states at the Fermi level comes out at 3.1 states/eV per cell. The calculation puts the calculated volume at 18.356 A^3/atom.

---

[2]
Compound: Tm3Ga4Cu2
Source: the Alexandria database
Functional: GGA-PBE
Structure: optimized geometry

Cell: 5.582 5.582 8.284 Å, 110.55 110.55 45.92°
Element x y z (fractional)
Tm (0.000, 0.000, 0.000)
Tm (0.328, 0.328, 0.347)
Tm (0.672, 0.672, 0.653)
Ga (0.036, 0.036, 0.367)
Ga (0.268, 0.268, 0.924)
Ga (0.732, 0.732, 0.076)
Ga (0.964, 0.964, 0.633)
Cu (0.401, 0.401, 0.730)
Cu (0.599, 0.599, 0.270)

Calculated values
The total energy comes out at -38.837 eV per cell. The density of states at the Fermi level comes out at 3.9 states/eV per cell. The calculation puts the calculated volume at 19.047 A^3/atom.

---

[3]
Compound: Tm3GaCu3
Source: the Alexandria database
Functional: GGA-PBE
Structure: optimized geometry

Cell: 5.483 5.483 14.197 Å, 107.93 107.93 44.17°
Element x y z (fractional)
Tm (0.034, 0.034, 0.388)
Tm (0.105, 0.105, 0.922)
Tm (0.248, 0.248, 0.231)
Tm (0.752, 0.752, 0.769)
Tm (0.895, 0.895, 0.078)
Tm (0.966, 0.966, 0.612)
Ga (0.256, 0.256, 0.607)
Ga (0.744, 0.744, 0.393)
Cu (0.369, 0.369, 0.458)
Cu (0.394, 0.394, 0.923)
Cu (0.464, 0.464, 0.768)
Cu (0.536, 0.536, 0.232)
Cu (0.606, 0.606, 0.077)
Cu (0.631, 0.631, 0.542)

Calculated values
The total energy comes out at -62.267 eV per cell. The density of states at the Fermi level comes out at 12.0 states/eV per cell. The calculation puts the calculated volume at 20.033 A^3/atom.

---

[4]
Compound: Tm2Ga4Cu3
Source: the Alexandria database
Functional: GGA-PBE
Structure: optimized geometry

Cell: 7.919 7.919 7.435 Å, 90.00 90.00 138.85°
Element x y z (fractional)
Tm (0.108, 0.892, 0.903)
Tm (0.392, 0.608, 0.403)
Tm (0.608, 0.392, 0.597)
Tm (0.892, 0.108, 0.097)
Ga (0.178, 0.822, 0.516)
Ga (0.186, 0.314, 0.750)
Ga (0.314, 0.186, 0.250)
Ga (0.322, 0.678, 0.016)
Ga (0.678, 0.322, 0.984)
Ga (0.686, 0.814, 0.750)
Ga (0.814, 0.686, 0.250)
Ga (0.822, 0.178, 0.484)
Cu (0.000, 0.000, 0.500)
Cu (0.016, 0.484, 0.750)
Cu (0.484, 0.016, 0.250)
Cu (0.500, 0.500, 0.000)
Cu (0.516, 0.984, 0.750)
Cu (0.984, 0.516, 0.250)

Calculated values
The total energy comes out at -74.083 eV per cell. The density of states at the Fermi level comes out at 10.5 states/eV per cell. The calculation puts the calculated volume at 17.047 A^3/atom.

---

[5]
Compound: YTmGaCu
Source: the Alexandria database
Functional: GGA-PBE
Structure: optimized geometry

Cell: 3.465 3.465 7.191 Å, 90.00 90.00 90.00°
Element x y z (fractional)
Y (0.000, 0.000, 0.000)
Tm (0.000, 0.000, 0.520)
Ga (0.500, 0.500, 0.265)
Cu (0.500, 0.500, 0.744)

Calculated values
The total energy comes out at -19.791 eV per cell. The density of states at the Fermi level comes out at 2.6 states/eV per cell. The calculation puts the calculated volume at 21.589 A^3/atom.

---

[6]
Compound: YTmGaCu
Source: the Alexandria database
Functional: GGA-PBE
Structure: optimized geometry

Cell: 4.972 4.972 4.972 Å, 60.00 60.00 60.00°
Element x y z (fractional)
Y (0.000, 0.000, 0.000)
Tm (0.500, 0.500, 0.500)
Ga (0.750, 0.750, 0.750)
Cu (0.250, 0.250, 0.250)

Calculated values
The total energy comes out at -19.797 eV per cell. The density of states at the Fermi level comes out at 2.9 states/eV per cell. The calculation puts the calculated volume at 21.729 A^3/atom.

---

[7]
Compound: TmZn8Ga2Cu
Source: the Alexandria database
Functional: GGA-PBE
Structure: optimized geometry

Cell: 4.556 4.556 10.817 Å, 100.80 100.80 66.70°
Element x y z (fractional)
Tm (0.000, 0.000, 0.000)
Zn (0.192, 0.701, 0.691)
Zn (0.259, 0.259, 0.834)
Zn (0.299, 0.808, 0.309)
Zn (0.330, 0.330, 0.457)
Zn (0.670, 0.670, 0.543)
Zn (0.701, 0.192, 0.691)
Zn (0.741, 0.741, 0.166)
Zn (0.808, 0.299, 0.309)
Ga (0.373, 0.373, 0.113)
Ga (0.627, 0.627, 0.887)
Cu (0.000, 0.000, 0.500)

Calculated values
The total energy comes out at -25.665 eV per cell. The density of states at the Fermi level comes out at 3.0 states/eV per cell. The calculation puts the calculated volume at 16.745 A^3/atom.

---

[8]
Compound: TmZnGa2Cu4
Source: the Alexandria database
Functional: GGA-PBE
Structure: optimized geometry

Cell: 8.488 8.488 8.488 Å, 28.50 28.50 28.50°
Element x y z (fractional)
Tm (0.000, 0.000, 0.000)
Zn (0.500, 0.500, 0.500)
Ga (0.248, 0.248, 0.248)
Ga (0.752, 0.752, 0.752)
Cu (0.131, 0.131, 0.131)
Cu (0.400, 0.400, 0.400)
Cu (0.600, 0.600, 0.600)
Cu (0.869, 0.869, 0.869)

Calculated values
The total energy comes out at -29.861 eV per cell. The density of states at the Fermi level comes out at 4.6 states/eV per cell. The calculation puts the calculated volume at 15.380 A^3/atom.

---

[9]
Compound: TmZnGa3Cu
Source: the Alexandria database
Functional: GGA-PBE
Structure: optimized geometry

Cell: 7.486 7.486 5.714 Å, 90.00 90.00 136.68°
Element x y z (fractional)
Tm (0.188, 0.812, 0.750)
Tm (0.812, 0.188, 0.250)
Zn (0.157, 0.843, 0.250)
Zn (0.843, 0.157, 0.750)
Ga (0.232, 0.232, 0.000)
Ga (0.232, 0.232, 0.500)
Ga (0.360, 0.640, 0.250)
Ga (0.640, 0.360, 0.750)
Ga (0.768, 0.768, 0.000)
Ga (0.768, 0.768, 0.500)
Cu (0.388, 0.612, 0.750)
Cu (0.612, 0.388, 0.250)

Calculated values
The total energy comes out at -38.963 eV per cell. The density of states at the Fermi level comes out at 4.9 states/eV per cell. The calculation puts the calculated volume at 18.306 A^3/atom.

---

[10]
Compound: Tm2ZnGa3Cu12
Source: the Alexandria database
Functional: GGA-PBE
Structure: optimized geometry

Cell: 6.502 6.502 6.502 Å, 84.46 84.46 84.46°
Element x y z (fractional)
Tm (0.200, 0.200, 0.200)
Tm (0.800, 0.800, 0.800)
Zn (0.500, 0.500, 0.500)
Ga (0.000, 0.500, 0.500)
Ga (0.500, 0.000, 0.500)
Ga (0.500, 0.500, 0.000)
Cu (0.087, 0.087, 0.630)
Cu (0.087, 0.630, 0.087)
Cu (0.219, 0.697, 0.697)
Cu (0.303, 0.303, 0.781)
Cu (0.303, 0.781, 0.303)
Cu (0.370, 0.913, 0.913)
Cu (0.630, 0.087, 0.087)
Cu (0.697, 0.219, 0.697)
Cu (0.697, 0.697, 0.219)
Cu (0.781, 0.303, 0.303)
Cu (0.913, 0.370, 0.913)
Cu (0.913, 0.913, 0.370)

Calculated values
The total energy comes out at -68.966 eV per cell. The density of states at the Fermi level comes out at 7.2 states/eV per cell. The calculation puts the calculated volume at 15.067 A^3/atom.

---

[11]
Compound: TmZnGaCu6
Source: the Alexandria database
Functional: GGA-PBE
Structure: optimized geometry

Cell: 7.315 7.315 7.315 Å, 124.17 107.49 97.92°
Element x y z (fractional)
Tm (0.464, 0.214, 0.250)
Tm (0.536, 0.786, 0.750)
Zn (0.000, 0.000, 0.500)
Zn (0.000, 0.500, 0.000)
Ga (0.000, 0.000, 0.000)
Ga (0.500, 0.000, 0.500)
Cu (0.134, 0.447, 0.325)
Cu (0.134, 0.809, 0.687)
Cu (0.168, 0.918, 0.250)
Cu (0.232, 0.482, 0.750)
Cu (0.378, 0.191, 0.825)
Cu (0.378, 0.553, 0.187)
Cu (0.622, 0.447, 0.813)
Cu (0.622, 0.809, 0.175)
Cu (0.768, 0.518, 0.250)
Cu (0.832, 0.082, 0.750)
Cu (0.866, 0.191, 0.313)
Cu (0.866, 0.553, 0.675)

Calculated values
The total energy comes out at -65.181 eV per cell. The density of states at the Fermi level comes out at 5.3 states/eV per cell. The calculation puts the calculated volume at 15.810 A^3/atom.

---

[12]
Compound: Tm2ZnGa4Cu3
Source: the Alexandria database
Functional: GGA-PBE
Structure: optimized geometry

Cell: 4.055 4.055 10.448 Å, 90.00 90.00 90.00°
Element x y z (fractional)
Tm (0.000, 0.500, 0.248)
Tm (0.500, 0.000, 0.752)
Zn (0.000, 0.000, 0.500)
Ga (0.000, 0.000, 0.000)
Ga (0.000, 0.500, 0.640)
Ga (0.500, 0.000, 0.360)
Ga (0.500, 0.500, 0.000)
Cu (0.000, 0.500, 0.865)
Cu (0.500, 0.000, 0.135)
Cu (0.500, 0.500, 0.500)

Calculated values
The total energy comes out at -38.734 eV per cell. The density of states at the Fermi level comes out at 5.5 states/eV per cell. The calculation puts the calculated volume at 17.175 A^3/atom.